Density functional theory data (PBE-GGA) for a geometry-optimized AsOs structure.

Output
DOS(E_F), states/eV/f.u.: 1.8
Energy of formation, meV/atom: 194
E, eV/atom: -7.746

CIF file:
```
data_AsOs
_chemical_formula_sum 'As2 Os2'
_space_group_name_H-M_alt 'P -3 m 1'
_space_group_IT_number 164
_space_group_name_Hall '-P 3 2"'
_cell_length_a 2.9353
_cell_length_b 2.9353
_cell_length_c 9.6873
_cell_angle_alpha 90.00
_cell_angle_beta 90.00
_cell_angle_gamma 120.00
loop_
_atom_site_label
_atom_site_type_symbol
_atom_site_fract_x
_atom_site_fract_y
_atom_site_fract_z
As1 As 0.3333 0.6667 0.1949
Os1 Os 0.3333 0.6667 0.6113
```